No. 1
This record from Alexandria via LeMat-Bulk describes a relaxed structure of NaCuBiI2. The functional is GGA-PBE.

Values from the calculation:
V in Å³ per cell: 208.4
Space group: P4/mmm, No. 123
Formation energy from raw total energies in kcal/mol of atoms: -3.01
Raw total energy in eV per atom: -2.610

Unit cell a=6.4571 b=4.9990 c=6.4571 alpha=90.00 beta=90.00 gamma=90.00
Last column: nearest neighbours and their distance in Å.
Element x y z (fractional)
Na  0.5000  0.5000  0.5000  8 I 4.08, 4 Cu 4.57
I  0.0000  0.0000  0.5000  2 Bi 3.23
I  0.5000  0.0000  0.0000  2 Bi 3.23
Cu  0.0000  0.5000  0.0000  2 Bi 2.50
Bi  0.0000  0.0000  0.0000  2 Cu 2.50



No. 2
This record from Alexandria via LeMat-Bulk describes a relaxed structure of La2Tb2TmCd5. The functional is GGA-PBE.

Values from the calculation:
Energy of formation from the pure elements in meV/atom: -204
V in Å³ per cell: 549.7
Space group: P4/mbm, No. 127
Raw total energy in eV per atom: -3.020

Unit cell a=4.7838 b=10.7200 c=10.7200 alpha=90.00 beta=90.00 gamma=90.00
Last column: nearest neighbours and their distance in Å.
Element x y z (fractional)
Cd  0.5000  0.8073  0.9344  3 Cd 3.09-3.37, 2 Tb 3.16, 2 Tm 3.24
Cd  0.5000  0.1927  0.0656  3 Cd 3.09-3.37, 2 Tb 3.16, 2 Tm 3.24
Cd  0.5000  0.6927  0.4344  3 Cd 3.09-3.37, 2 Tb 3.16, 2 Tm 3.24
Cd  0.5000  0.5656  0.6927  3 Cd 3.09-3.37, 2 Tb 3.16, 2 Tm 3.24
Cd  0.5000  0.9344  0.1927  3 Cd 3.09-3.37, 2 Tb 3.16, 2 Tm 3.24
Cd  0.5000  0.3073  0.5656  3 Cd 3.09-3.37, 2 Tb 3.16, 2 Tm 3.24
Cd  0.5000  0.4344  0.3073  3 Cd 3.09-3.37, 2 Tb 3.16, 2 Tm 3.24
Cd  0.5000  0.0656  0.8073  3 Cd 3.09-3.37, 2 Tb 3.16, 2 Tm 3.24
Cd  0.5000  0.5000  0.0000  4 Tb 3.05, 4 Cd 3.37
Cd  0.5000  0.0000  0.5000  4 Tb 3.05, 4 Cd 3.37
Tb  0.0000  0.3756  0.1244  3 La 3.04-3.26, 6 Cd 3.05-3.16
Tb  0.0000  0.8756  0.3756  3 La 3.04-3.26, 6 Cd 3.05-3.16
Tb  0.0000  0.6244  0.8756  3 La 3.04-3.26, 6 Cd 3.05-3.16
Tb  0.0000  0.1244  0.6244  3 La 3.04-3.26, 6 Cd 3.05-3.16
Tm  0.0000  0.0000  0.0000  8 Cd 3.24
Tm  0.0000  0.5000  0.5000  8 Cd 3.24
La  0.0000  0.3248  0.8248  3 Tb 3.04-3.26
La  0.0000  0.8248  0.6752  3 Tb 3.04-3.26
La  0.0000  0.1752  0.3248  3 Tb 3.04-3.26
La  0.0000  0.6752  0.1752  3 Tb 3.04-3.26



No. 3
This record from Alexandria via LeMat-Bulk describes a relaxed structure of Pm4ClO5. The functional is GGA-PBE.

Values from the calculation:
V in Å³ per cell: 390.3
Space group: Pmmn, No. 59
Formation energy from raw total energies in kcal/mol of atoms: -68.59
Raw total energy in eV per atom: -7.539

Unit cell a=5.9505 b=7.1965 c=9.1148 alpha=90.00 beta=90.00 gamma=90.00
Last column: nearest neighbours and their distance in Å.
Element x y z (fractional)
Cl  0.8310  0.0000  0.0000  4 Pm 2.88-2.89
Cl  0.1690  0.5000  0.5000  4 Pm 2.88-2.89
O  0.2283  0.7457  0.1842  3 Pm 2.18-2.39
O  0.7717  0.2457  0.3158  3 Pm 2.18-2.39
O  0.2585  0.0000  0.5000  4 Pm 2.34-2.41
O  0.7415  0.5000  0.0000  4 Pm 2.34-2.41
O  0.2283  0.7457  0.8158  3 Pm 2.18-2.39
O  0.7717  0.7543  0.3158  3 Pm 2.18-2.39
O  0.7717  0.7543  0.6842  3 Pm 2.18-2.39
O  0.7717  0.2457  0.6842  3 Pm 2.18-2.39
O  0.2283  0.2543  0.1842  3 Pm 2.18-2.39
O  0.2283  0.2543  0.8158  3 Pm 2.18-2.39
Pm  0.0383  0.0000  0.2866  5 O 2.34-2.39
Pm  0.5385  0.2424  0.5000  3 O 2.18-2.41
Pm  0.4615  0.7424  0.0000  3 O 2.18-2.41
Pm  0.5385  0.7576  0.5000  3 O 2.18-2.41
Pm  0.9617  0.5000  0.7866  5 O 2.34-2.39
Pm  0.4615  0.2576  0.0000  3 O 2.18-2.41
Pm  0.0383  0.0000  0.7134  5 O 2.34-2.39
Pm  0.9617  0.5000  0.2134  5 O 2.34-2.39



No. 4
This record from Alexandria via LeMat-Bulk describes a relaxed structure of Pu3AgPt. The functional is GGA-PBE.

Values from the calculation:
Energy of formation from the pure elements in meV/atom: -193
V in Å³ per cell: 361.7
Space group: Pm-3m, No. 221
Raw total energy in eV per atom: -10.571

Unit cell a=7.1247 b=7.1247 c=7.1247 alpha=90.00 beta=90.00 gamma=90.00
Last column: nearest neighbours and their distance in Å.
Element x y z (fractional)
Pt  0.5000  0.0000  0.0000  8 Pu 3.02
Pt  0.0000  0.5000  0.0000  8 Pu 3.02
Pt  0.0000  0.0000  0.5000  8 Pu 3.02
Pu  0.2338  0.2338  0.2338  3 Pt 3.02, 3 Ag 3.16, 4 Pu 3.28-3.33
Pu  0.2338  0.7662  0.2338  3 Pt 3.02, 3 Ag 3.16, 4 Pu 3.28-3.33
Pu  0.7662  0.7662  0.2338  3 Pt 3.02, 3 Ag 3.16, 4 Pu 3.28-3.33
Pu  0.2338  0.7662  0.7662  3 Pt 3.02, 3 Ag 3.16, 4 Pu 3.28-3.33
Pu  0.7662  0.7662  0.7662  3 Pt 3.02, 3 Ag 3.16, 4 Pu 3.28-3.33
Pu  0.7662  0.2338  0.2338  3 Pt 3.02, 3 Ag 3.16, 4 Pu 3.28-3.33
Pu  0.5000  0.5000  0.5000  8 Pu 3.28, 6 Ag 3.56
Pu  0.2338  0.2338  0.7662  3 Pt 3.02, 3 Ag 3.16, 4 Pu 3.28-3.33
Pu  0.7662  0.2338  0.7662  3 Pt 3.02, 3 Ag 3.16, 4 Pu 3.28-3.33
Ag  0.5000  0.0000  0.5000  8 Pu 3.16
Ag  0.0000  0.5000  0.5000  8 Pu 3.16
Ag  0.5000  0.5000  0.0000  8 Pu 3.16



No. 5
This record from Alexandria via LeMat-Bulk describes a relaxed structure of TbErMnAl. The functional is GGA-PBE.

Values from the calculation:
Energy of formation from the pure elements in meV/atom: -78
V in Å³ per cell: 91.8
Space group: F-43m, No. 216
Raw total energy in eV per atom: -5.604

Unit cell a=5.0638 b=5.0638 c=5.0638 alpha=60.00 beta=60.00 gamma=60.00
Last column: nearest neighbours and their distance in Å.
Element x y z (fractional)
Tb  0.2500  0.2500  0.2500  4 Mn 3.10, 4 Al 3.10
Al  0.5000  0.5000  0.5000  4 Tb 3.10, 4 Er 3.10
Mn  0.0000  0.0000  0.0000  4 Tb 3.10, 4 Er 3.10
Er  0.7500  0.7500  0.7500  4 Mn 3.10, 4 Al 3.10



No. 6
This record from Alexandria via LeMat-Bulk describes a relaxed structure of V3SbRh. The functional is GGA-PBE.

Values from the calculation:
V in Å³ per cell: 98.6
Space group: Pm-3m, No. 221
Formation energy from raw total energies in kcal/mol of atoms: 17.64
Distance to the lowest polymorph of the same formula in meV per atom: 0
Raw total energy in eV per atom: -7.001

Unit cell a=4.6197 b=4.6197 c=4.6197 alpha=90.00 beta=90.00 gamma=90.00
Last column: nearest neighbours and their distance in Å.
Element x y z (fractional)
V  0.0000  0.0000  0.5000  2 Rh 2.31
V  0.0000  0.5000  0.0000  2 Rh 2.31
V  0.5000  0.0000  0.0000  2 Rh 2.31
Rh  0.0000  0.0000  0.0000  6 V 2.31
Sb  0.5000  0.5000  0.5000  12 V 3.27



No. 7
This record from Alexandria via LeMat-Bulk describes a relaxed structure of RbBeCoPd2. The functional is GGA-PBE.

Values from the calculation:
Energy of formation from the pure elements in meV/atom: 879
V in Å³ per cell: 101.6
Space group: P4/mmm, No. 123
Distance to the lowest polymorph of the same formula in meV per atom: 213
Raw total energy in eV per atom: -3.558

Unit cell a=4.3501 b=5.3713 c=4.3501 alpha=90.00 beta=90.00 gamma=90.00
Last column: nearest neighbours and their distance in Å.
Element x y z (fractional)
Pd  0.5000  0.0000  0.0000  2 Be 2.18
Pd  0.0000  0.0000  0.5000  2 Be 2.18
Be  0.0000  0.0000  0.0000  4 Pd 2.18
Rb  0.0000  0.5000  0.0000  2 Be 2.69
Co  0.5000  0.5000  0.5000  4 Rb 3.08



No. 8
This record from Alexandria via LeMat-Bulk describes a relaxed structure of LaAlAs2. The functional is GGA-PBE.

Values from the calculation:
Energy of formation from the pure elements in meV/atom: -518
V in Å³ per cell: 89.8
Space group: I4/mmm, No. 139
Raw total energy in eV per atom: -5.011

Unit cell a=5.3470 b=5.3470 c=5.3470 alpha=129.02 beta=129.09 gamma=74.92
Last column: nearest neighbours and their distance in Å.
Element x y z (fractional)
Al  0.2500  0.7500  0.5000  8 As 3.13, 4 La 3.25
As  0.9999  0.9999  0.0000  4 Al 3.13, 4 La 3.13, 4 As 3.25
As  0.5001  0.5001  0.0000  4 Al 3.13, 4 La 3.13, 4 As 3.25
La  0.7500  0.2500  0.5000  8 As 3.13, 4 Al 3.25